Entry from the Alexandria database: crystalline Mg2PtRh at its relaxed geometry (GGA-PBE).

a = 4.4307 Å, b = 4.4307 Å, c = 4.4307 Å
α = 60.00°, β = 60.00°, γ = 60.00°
Sites, in units of the cell vectors:
Mg1 0.2500 0.2500 0.2500
Mg2 0.7500 0.7500 0.7500
Rh1 0.5000 0.5000 0.5000
Pt1 0.0000 0.0000 0.0000

Values from the calculation:
DOS(E_F) ... 0.56 states/eV per atom
ΔH_f (0 K) ... -719 meV/atom
E_tot ... -4.86 eV/atom
Calculated volume ... 15.376 Å³ per atom